# POs2I (PBE-GGA, optimized geometry)
data_POs2I
_cell_length_a 5.430
_cell_length_b 5.430
_cell_length_c 11.616
_cell_angle_alpha 90.00
_cell_angle_beta 90.00
_cell_angle_gamma 90.00
_space_group_name_H-M_alt 'I -4 2 d'
_space_group_IT_number 122
_space_group_name_Hall 'I -4 2bw'
loop_
_atom_site_label
_atom_site_fract_x
_atom_site_fract_y
_atom_site_fract_z
P1 0.000 0.000 0.000
Os1 0.193 0.250 0.125
I1 0.000 0.000 0.500
# DFT total energy   -6.60 eV/atom
# Polymorph energy (0 for the lowest one)   0 meV per atom